Computed, not measured: crystalline Tb8SmTh6 at its relaxed geometry at the PBE level of DFT.

Cell lengths 8.7706, 8.7706, 8.7706 Å; angles 60.76, 60.76, 60.76 degrees
Last column: nearest neighbours and their distance in Å.
Fractional coordinates of all 15 atoms:
Tb1 0.0806 0.0806 0.0806  4 Tb 3.37-3.44, 6 Th 3.42-3.76
Tb2 0.1728 0.3050 0.6215  5 Tb 3.37-3.54, 3 Th 3.43-3.58, 1 Sm 3.51
Tb3 0.3050 0.6215 0.1728  5 Tb 3.37-3.54, 3 Th 3.43-3.58, 1 Sm 3.51
Tb4 0.3785 0.8272 0.6950  5 Tb 3.37-3.54, 3 Th 3.43-3.58, 1 Sm 3.51
Tb5 0.6215 0.1728 0.3050  5 Tb 3.37-3.54, 3 Th 3.43-3.58, 1 Sm 3.51
Tb6 0.6950 0.3785 0.8272  5 Tb 3.37-3.54, 3 Th 3.43-3.58, 1 Sm 3.51
Tb7 0.8272 0.6950 0.3785  5 Tb 3.37-3.54, 3 Th 3.43-3.58, 1 Sm 3.51
Tb8 0.9194 0.9194 0.9194  4 Tb 3.37-3.44, 6 Th 3.42-3.76
Sm1 0.5000 0.5000 0.5000  6 Th 3.48, 6 Tb 3.51
Th1 0.0345 0.7665 0.5727  5 Tb 3.42-3.76, 5 Th 3.46-3.82, 1 Sm 3.48
Th2 0.2335 0.4273 0.9655  5 Tb 3.42-3.76, 5 Th 3.46-3.82, 1 Sm 3.48
Th3 0.4273 0.9655 0.2335  5 Tb 3.42-3.76, 5 Th 3.46-3.82, 1 Sm 3.48
Th4 0.5727 0.0345 0.7665  5 Tb 3.42-3.76, 5 Th 3.46-3.82, 1 Sm 3.48
Th5 0.7665 0.5727 0.0345  5 Tb 3.42-3.76, 5 Th 3.46-3.82, 1 Sm 3.48
Th6 0.9655 0.2335 0.4273  5 Tb 3.42-3.76, 5 Th 3.46-3.82, 1 Sm 3.48

Output
The value obtained for the total magnetic moment is 0.00 μB/cell. The total energy comes out at -5.59 eV/atom. Its space group is R-3. The formation energy from the elements comes out at 0.160 eV/atom.